The following is a DFT calculation (PBE) of BaC after structural relaxation.

a b c (Å): 3.7171 3.7171 17.0180
angles (deg): 90.00 90.00 120.00
Last column: nearest neighbours and their distance in Å.
Atoms (fractional coordinates):
Ba: 0.3333 0.6667 0.1380  6 C 2.87
Ba: 0.3333 0.6667 0.3620  6 C 2.87
Ba: 0.6667 0.3333 0.6380  6 C 2.87
Ba: 0.6667 0.3333 0.8620  6 C 2.87
C: 0.0000 0.0000 0.2500  3 C 2.15
C: 0.0000 0.0000 0.7500  3 C 2.15
C: 0.3333 0.6667 0.7500  3 C 2.15
C: 0.6667 0.3333 0.2500  3 C 2.15

Calculated values
The density of states at the Fermi level comes out at 4.9 states/eV per cell. The calculation puts the total energy at -34.89 eV per cell. The calculation puts the density at 4.87 g/cm3. As for the space group: P6_3/mmc. The energy relative to the elements is 1.211 eV/atom. As for the crystal system: hexagonal.